# Li2FeSi6O15 | Alexandria | GGA+U | optimized geometry
# - total energy (eV/atom) = -7.28
# - volume (Å³/cell) = 300.5
# - total magnetization (μB per formula unit) = 4.0
# - energy above the lowest structure with this stoichiometry (eV/f.u.) = 0.93
data_Li2FeSi6O15
_chemical_formula_sum 'Li2 Fe1 Si6 O15'
_space_group_name_H-M_alt 'P -1'
_space_group_IT_number 2
_cell_length_a 6.883
_cell_length_b 7.280
_cell_length_c 7.474
_cell_angle_alpha 96.46
_cell_angle_beta 113.09
_cell_angle_gamma 113.18
loop_
_space_group_symop_operation_xyz
'x,y,z'
'-x,-y,-z'
loop_
_atom_site_label
_atom_site_type_symbol
_atom_site_fract_x
_atom_site_fract_y
_atom_site_fract_z
Li1 Li 0.217 0.177 0.139
Fe1 Fe 0.500 0.000 0.000
Si1 Si 0.148 0.805 0.216
Si2 Si 0.218 0.507 0.699
Si3 Si 0.374 0.174 0.609
O1 O 0.000 0.500 0.500
O2 O 0.114 0.387 0.841
O3 O 0.152 0.869 0.017
O4 O 0.200 0.024 0.368
O5 O 0.321 0.042 0.760
O6 O 0.329 0.377 0.617
O7 O 0.346 0.735 0.341
O8 O 0.447 0.739 0.839